## DyZrV (PBE)

Data for a relaxed structure of DyZrV.

Cell and atoms, written as POSCAR:
```
DyZrV
1.0
3.208 0.000 0.000
0.000 3.208 0.000
-1.604 -1.604 13.351
V Zr Dy
2 2 2
direct
0.272 0.272 0.544
0.728 0.728 0.456
0.157 0.157 0.314
0.843 0.843 0.686
0.565 0.565 0.130
0.435 0.435 0.870
```

## Properties
DOS(E_F): 9.72 states/eV per cell
Formation enthalpy at 0 K: 0.194 eV per atom



## DyZr2V (PBE)

Data for a relaxed structure of DyZr2V.

Cell and atoms, written as POSCAR:
```
DyZr2V
1.0
-1.618 0.949 2.568
0.700 -1.209 2.857
6.755 7.710 3.378
V Zr Dy
1 2 1
direct
0.500 0.500 0.500
0.099 0.099 0.702
0.901 0.901 0.298
0.000 0.000 0.000
```

## Properties
Relative energy among the computed polymorphs: 223 meV/atom
DOS(E_F): 5.47 states/eV per cell
Formation enthalpy at 0 K: 0.404 eV per atom



## DyZr2V (PBE)

Data for a relaxed structure of DyZr2V.

Cell and atoms, written as POSCAR:
```
DyZr2V
1.0
-0.295 -2.973 -1.637
2.103 -1.450 2.254
-6.046 -1.851 4.451
V Zr Dy
1 2 1
direct
0.500 0.500 0.000
0.000 0.000 0.801
0.000 0.000 0.199
0.500 0.500 0.500
```

## Properties
Relative energy among the computed polymorphs: 0 meV/atom
DOS(E_F): 7.05 states/eV per cell
Formation enthalpy at 0 K: 0.180 eV per atom



## Dy4W (PBE)

Data for a relaxed structure of Dy4W.

Cell and atoms, written as POSCAR:
```
Dy4W
1.0
5.456 0.000 0.000
0.000 5.456 0.000
0.000 0.000 5.456
W Dy
1 4
direct
0.500 0.500 0.500
0.000 0.000 0.000
0.500 0.000 0.500
0.000 0.500 0.500
0.500 0.500 0.000
```

## Properties
DOS(E_F): 6.15 states/eV per cell
Formation enthalpy at 0 K: 0.534 eV per atom



## DyW6 (PBE)

Data for a relaxed structure of DyW6.

Cell and atoms, written as POSCAR:
```
DyW6
1.0
6.123 0.000 0.000
-2.041 5.773 0.000
-2.041 -2.887 5.000
Dy W
1 6
direct
0.000 0.000 0.000
0.250 0.750 0.500
0.500 0.750 0.250
0.250 0.500 0.750
0.750 0.250 0.500
0.500 0.250 0.750
0.750 0.500 0.250
```

## Properties
DOS(E_F): 13.54 states/eV per cell
Formation enthalpy at 0 K: 1.908 eV per atom



## DyZr2W (PBE)

Data for a relaxed structure of DyZr2W.

Cell and atoms, written as POSCAR:
```
DyZr2W
1.0
-1.761 -2.198 1.611
1.235 -1.464 2.619
-4.096 6.394 7.516
Zr W Dy
2 1 1
direct
0.101 0.101 0.698
0.899 0.899 0.302
0.500 0.500 0.500
0.000 0.000 0.000
```

## Properties
DOS(E_F): 5.14 states/eV per cell
Formation enthalpy at 0 K: 0.434 eV per atom



## Dy8Y (PBE)

Data for a relaxed structure of Dy8Y.

Cell and atoms, written as POSCAR:
```
Dy8Y
1.0
-1.623 -3.670 -2.994
5.626 -1.511 -5.384
2.231 -6.945 3.116
Dy Y
8 1
direct
0.333 0.000 0.335
0.667 0.000 0.665
0.667 0.665 0.000
0.000 0.666 0.334
0.334 0.666 0.666
0.666 0.334 0.334
0.000 0.334 0.666
0.333 0.335 0.000
0.000 0.000 0.000
```

## Properties
DOS(E_F): 12.96 states/eV per cell
Formation enthalpy at 0 K: 0.019 eV per atom



## Dy7Y2 (PBE)

Data for a relaxed structure of Dy7Y2.

Cell and atoms, written as POSCAR:
```
Dy7Y2
1.0
-5.842 -0.802 -1.732
4.519 -2.886 -3.003
-0.688 -6.739 5.441
Dy Y
7 2
direct
0.000 0.000 0.000
0.667 0.000 0.334
0.000 0.667 0.334
0.333 0.333 0.334
0.000 0.333 0.666
0.333 0.000 0.666
0.667 0.667 0.666
0.333 0.667 0.000
0.667 0.333 0.000
```

## Properties
Relative energy among the computed polymorphs: 0 meV/atom
DOS(E_F): 13.40 states/eV per cell
Formation enthalpy at 0 K: 0.023 eV per atom